a) CsZrAs | PBE | relaxed

Cell: 7.351 7.351 7.351 Å, 90.00 90.00 90.00°
Atoms (fractional coordinates):
Cs 0.000 0.000 0.000
Cs 0.000 0.500 0.500
Cs 0.500 0.000 0.500
Cs 0.500 0.500 0.000
Zr 0.000 0.000 0.500
Zr 0.000 0.500 0.000
Zr 0.500 0.000 0.000
Zr 0.500 0.500 0.500
As 0.250 0.250 0.250
As 0.250 0.750 0.750
As 0.750 0.250 0.750
As 0.750 0.750 0.250

Computed properties:
Crystal system: cubic
Space group: F-43m, No. 216
ρ in kg/m3: 5000
Magnetization in Bohr magnetons per cell: 7.996

b) CsZrAs | PBE | relaxed

Cell: 7.310 7.310 7.310 Å, 90.00 90.00 90.00°
Atoms (fractional coordinates):
Cs 0.000 0.000 0.000
Cs 0.000 0.500 0.500
Cs 0.500 0.000 0.500
Cs 0.500 0.500 0.000
Zr 0.250 0.250 0.250
Zr 0.250 0.750 0.750
Zr 0.750 0.250 0.750
Zr 0.750 0.750 0.250
As 0.250 0.250 0.750
As 0.250 0.750 0.250
As 0.750 0.250 0.250
As 0.750 0.750 0.750

Computed properties:
Crystal system: cubic
Space group: F-43m, No. 216
ρ in kg/m3: 5085
Magnetization in Bohr magnetons per cell: 7.994

In terms of stability, a) leads; the second structure lies 0.796 eV/atom higher.

a) DyHo | PBE | relaxed

Cell: 6.427 6.427 6.427 Å, 90.00 90.00 90.00°
Atoms (fractional coordinates):
Dy 0.000 0.000 0.000
Dy 0.000 0.500 0.500
Dy 0.500 0.000 0.500
Dy 0.500 0.500 0.000
Ho 0.000 0.000 0.500
Ho 0.000 0.500 0.000
Ho 0.500 0.000 0.000
Ho 0.500 0.500 0.500

Computed properties:
Crystal system: cubic
Space group: Fm-3m, No. 225
ρ in kg/m3: 8193
Magnetization in Bohr magnetons per cell: 3.623

b) DyHo | PBE | relaxed

Cell: 3.597 3.597 5.599 Å, 90.00 90.00 120.00°
Atoms (fractional coordinates):
Dy 0.000 0.000 0.000
Ho 0.667 0.333 0.500

Computed properties:
Crystal system: hexagonal
Space group: P-6m2, No. 187
ρ in kg/m3: 8665
Magnetization in Bohr magnetons per cell: 0.093

In terms of stability, b) leads; the second structure lies 0.791 eV/atom higher.

a) Cu7Ag3 | PBE | relaxed

Cell: 6.645 2.749 7.607 Å, 90.00 100.41 90.00°
Atoms (fractional coordinates):
Cu 0.000 0.000 0.000
Cu 0.087 0.500 0.294
Cu 0.180 0.000 0.578
Cu 0.365 0.000 0.197
Cu 0.635 0.000 0.803
Cu 0.820 0.000 0.422
Cu 0.913 0.500 0.706
Ag 0.307 0.500 0.882
Ag 0.500 0.500 0.500
Ag 0.693 0.500 0.118

Computed properties:
Crystal system: monoclinic
Space group: P2/m, No. 10
ρ in kg/m3: 9335

b) Cu7Ag3 | PBE | relaxed

Cell: 2.766 2.766 17.835 Å, 90.00 90.00 90.00°
Atoms (fractional coordinates):
Cu 0.000 0.000 0.000
Cu 0.000 0.000 0.215
Cu 0.000 0.000 0.391
Cu 0.000 0.000 0.609
Cu 0.000 0.000 0.785
Cu 0.500 0.500 0.303
Cu 0.500 0.500 0.697
Ag 0.500 0.500 0.107
Ag 0.500 0.500 0.500
Ag 0.500 0.500 0.893

Computed properties:
Crystal system: tetragonal
Space group: P4/mmm, No. 123
ρ in kg/m3: 9353

c) Cu7Ag3 | PBE | relaxed

Cell: 3.853 9.406 9.406 Å, 23.63 90.00 90.00°
Atoms (fractional coordinates):
Cu 0.000 0.000 0.000
Cu 0.000 0.177 0.177
Cu 0.000 0.403 0.403
Cu 0.000 0.589 0.589
Cu 0.500 0.089 0.089
Cu 0.500 0.500 0.500
Cu 0.500 0.677 0.677
Ag 0.000 0.784 0.784
Ag 0.500 0.284 0.284
Ag 0.500 0.900 0.900

Computed properties:
Crystal system: orthorhombic
Space group: Amm2, No. 38
ρ in kg/m3: 9339

In terms of stability, c) leads; the second structure lies 0.008 eV/atom higher.

a) Cu7Ag3 | PBE | relaxed

Cell: 6.558 2.727 7.919 Å, 90.00 104.15 90.00°
Atoms (fractional coordinates):
Cu 0.000 0.000 0.000
Cu 0.080 0.500 0.321
Cu 0.195 0.000 0.592
Cu 0.504 0.500 0.529
Cu 0.620 0.000 0.800
Cu 0.798 0.000 0.430
Cu 0.902 0.500 0.707
Ag 0.302 0.500 0.892
Ag 0.384 0.000 0.229
Ag 0.709 0.500 0.113

Computed properties:
Crystal system: monoclinic
Space group: Pm, No. 6
ρ in kg/m3: 9293

b) Cu7Ag3 | PBE | relaxed

Cell: 4.621 8.023 11.680 Å, 78.59 82.14 73.44°
Atoms (fractional coordinates):
Cu 0.000 0.000 0.000
Cu 0.000 0.534 0.281
Cu 0.072 0.484 0.674
Cu 0.106 0.396 0.099
Cu 0.144 0.865 0.778
Cu 0.202 0.330 0.470
Cu 0.214 0.808 0.182
Cu 0.303 0.749 0.581
Cu 0.341 0.207 0.281
Cu 0.451 0.064 0.097
Cu 0.539 0.004 0.476
Cu 0.561 0.460 0.187
Cu 0.674 0.872 0.279
Cu 0.684 0.329 0.001
Cu 0.750 0.801 0.673
Cu 0.769 0.270 0.375
Cu 0.771 0.730 0.099
Cu 0.867 0.678 0.482
Cu 0.888 0.138 0.183
Cu 0.915 0.599 0.889
Cu 0.968 0.063 0.576
Ag 0.101 0.946 0.378
Ag 0.247 0.274 0.900
Ag 0.329 0.660 0.996
Ag 0.395 0.130 0.674
Ag 0.433 0.605 0.376
Ag 0.498 0.547 0.782
Ag 0.583 0.923 0.891
Ag 0.650 0.403 0.576
Ag 0.833 0.197 0.790

Computed properties:
Crystal system: triclinic
Space group: P1, No. 1
ρ in kg/m3: 9443

In terms of stability, a) leads; the second structure lies 0.007 eV/atom higher.

a) MoSeS3Br | PBE | relaxed

Cell: 6.236 7.889 7.891 Å, 112.83 113.25 97.88°
Atoms (fractional coordinates):
Mo 0.225 0.001 0.001
Mo 0.775 0.999 0.999
Se 0.127 0.310 0.147
Se 0.873 0.690 0.853
S 0.096 0.917 0.220
S 0.325 0.800 0.720
S 0.448 0.760 0.980
S 0.552 0.240 0.020
S 0.675 0.200 0.280
S 0.904 0.083 0.780
Br 0.342 0.239 0.602
Br 0.658 0.761 0.398

Computed properties:
Crystal system: triclinic
Space group: P-1, No. 2
ρ in kg/m3: 3774
Magnetization in Bohr magnetons per cell: 0.003

b) MoSeS3Br | PBE | relaxed

Cell: 6.191 7.938 7.998 Å, 118.05 97.60 104.89°
Atoms (fractional coordinates):
Mo 0.225 0.000 0.000
Mo 0.775 0.000 0.000
Se 0.129 0.230 0.312
Se 0.871 0.770 0.688
S 0.021 0.140 0.851
S 0.400 0.727 0.936
S 0.470 0.024 0.781
S 0.530 0.976 0.219
S 0.600 0.273 0.064
S 0.979 0.860 0.149
Br 0.263 0.602 0.373
Br 0.737 0.398 0.627

Computed properties:
Crystal system: triclinic
Space group: P-1, No. 2
ρ in kg/m3: 3641
Magnetization in Bohr magnetons per cell: 0.002

In terms of stability, b) leads; the second structure lies 0.053 eV/atom higher.

a) Zn | PBE | relaxed

Cell: 4.323 7.461 4.756 Å, 90.00 90.00 90.00°
Atoms (fractional coordinates):
Zn 0.000 0.000 0.250
Zn 0.000 0.000 0.750
Zn 0.000 0.334 0.250
Zn 0.000 0.666 0.750
Zn 0.500 0.166 0.750
Zn 0.500 0.500 0.250
Zn 0.500 0.500 0.750
Zn 0.500 0.834 0.250

Computed properties:
Crystal system: orthorhombic
Space group: Cmcm, No. 63
ρ in kg/m3: 5663

b) Zn | PBE | relaxed

Cell: 2.715 4.651 4.593 Å, 90.00 90.00 90.00°
Atoms (fractional coordinates):
Zn 0.000 0.167 0.250
Zn 0.000 0.833 0.750
Zn 0.500 0.333 0.750
Zn 0.500 0.667 0.250

Computed properties:
Crystal system: orthorhombic
Space group: Cmcm, No. 63
ρ in kg/m3: 7491

In terms of stability, b) leads; the second structure lies 0.313 eV/atom higher.

a) Be2CoPt | PBE | relaxed

Cell: 5.439 5.439 5.439 Å, 90.00 90.00 90.00°
Atoms (fractional coordinates):
Be 0.250 0.250 0.250
Be 0.250 0.250 0.750
Be 0.250 0.750 0.250
Be 0.250 0.750 0.750
Be 0.750 0.250 0.250
Be 0.750 0.250 0.750
Be 0.750 0.750 0.250
Be 0.750 0.750 0.750
Co 0.000 0.000 0.000
Co 0.000 0.500 0.500
Co 0.500 0.000 0.500
Co 0.500 0.500 0.000
Pt 0.000 0.000 0.500
Pt 0.000 0.500 0.000
Pt 0.500 0.000 0.000
Pt 0.500 0.500 0.500

Computed properties:
Crystal system: cubic
Space group: Fm-3m, No. 225
ρ in kg/m3: 11231
Magnetization in Bohr magnetons per cell: 0.001

b) Be2CoPt | PBE | relaxed

Cell: 5.509 5.434 5.432 Å, 90.00 90.00 90.00°
Atoms (fractional coordinates):
Be 0.249 0.000 0.000
Be 0.249 0.500 0.000
Be 0.251 0.000 0.500
Be 0.251 0.500 0.500
Be 0.749 0.000 0.500
Be 0.749 0.500 0.500
Be 0.751 0.000 0.000
Be 0.751 0.500 0.000
Co 0.000 0.250 0.250
Co 0.000 0.750 0.750
Co 0.500 0.250 0.250
Co 0.500 0.750 0.750
Pt 0.000 0.250 0.749
Pt 0.000 0.750 0.251
Pt 0.500 0.250 0.751
Pt 0.500 0.750 0.249

Computed properties:
Crystal system: orthorhombic
Space group: Pnma, No. 62
ρ in kg/m3: 11113
Magnetization in Bohr magnetons per cell: 0.004

In terms of stability, a) leads; the second structure lies 0.059 eV/atom higher.

a) PaCdPO | PBE | relaxed

Cell: 3.964 3.964 9.394 Å, 90.00 90.00 90.00°
Atoms (fractional coordinates):
Pa 0.250 0.250 0.144
Pa 0.750 0.750 0.856
Cd 0.250 0.750 0.500
Cd 0.750 0.250 0.500
P 0.250 0.250 0.727
P 0.750 0.750 0.273
O 0.250 0.750 0.000
O 0.750 0.250 0.000

Computed properties:
Crystal system: tetragonal
Space group: P4/nmm, No. 129
ρ in kg/m3: 8782
Magnetization in Bohr magnetons per cell: 1.987

b) PaCdPO | PBE | relaxed

Cell: 4.235 7.027 5.676 Å, 90.00 90.00 90.00°
Atoms (fractional coordinates):
Pa 0.000 0.223 0.000
Pa 0.000 0.777 0.500
Cd 0.500 0.384 0.502
Cd 0.500 0.616 0.002
P 0.000 0.184 0.500
P 0.000 0.816 0.000
O 0.500 0.164 0.998
O 0.500 0.836 0.498

Computed properties:
Crystal system: orthorhombic
Space group: Pmc2_1, No. 26
ρ in kg/m3: 7677
Magnetization in Bohr magnetons per cell: 1.412

In terms of stability, a) leads; the second structure lies 0.147 eV/atom higher.